Record 1
First-principles (PBEsol) data for a geometry-optimized Sc5Ni structure, as listed in the Alexandria database.

Unit cell a=3.1922 b=3.1922 c=12.2778 alpha=90.00 beta=90.00 gamma=90.00
Positions (direct):
Sc  0.0000  0.0000  0.3786
Sc  0.0000  0.0000  0.6214
Sc  0.0000  0.0000  0.0000
Sc  0.5000  0.5000  0.1852
Sc  0.5000  0.5000  0.8148
Ni  0.5000  0.5000  0.5000

## Properties
**Polymorph energy (0 for the lowest one)**: 13 meV per atom
**E_form**: -0.121 eV per atom
**E_tot**: -0.244 Ha/atom
**Spin magnetization**: 0.005 μB/cell



Record 2
First-principles (PBEsol) data for a geometry-optimized YBiO2F2 structure, as listed in the Alexandria database.

Unit cell a=3.8647 b=3.8647 c=5.5447 alpha=90.00 beta=90.00 gamma=90.00
Positions (direct):
O  0.5000  0.0000  0.2533
F  0.0000  0.5000  0.2185
Bi  0.5000  0.5000  0.5000
O  0.0000  0.5000  0.7467
F  0.5000  0.0000  0.7815
Y  0.0000  0.0000  0.0000

## Properties
**Raw formation energy**: -2.829 eV per atom
**E_tot**: -0.260 Ha/atom
**Spin magnetization**: 0.000 μB/cell



Record 3
First-principles (PBEsol) data for a geometry-optimized TiPF2 structure, as listed in the Alexandria database.

Unit cell a=3.5814 b=3.5814 c=7.8291 alpha=103.22 beta=103.22 gamma=90.00
Positions (direct):
F  0.1250  0.0900  0.7500
F  0.6250  0.6600  0.7500
F  0.3400  0.8750  0.2500
Ti  0.0000  0.0000  0.0000
F  0.9100  0.3750  0.2500
P  0.7500  0.2500  0.5000
Ti  0.2500  0.7500  0.5000
P  0.5000  0.5000  0.0000

## Properties
**Polymorph energy (0 for the lowest one)**: 166 meV per atom
**Raw formation energy**: -1.589 eV per atom
**E_tot**: -0.223 Ha/atom
**Spin magnetization**: 0.002 μB/cell



Record 4
First-principles (PBEsol) data for a geometry-optimized Fe2Tc structure, as listed in the Alexandria database.

Unit cell a=4.5889 b=4.5889 c=4.5889 alpha=60.00 beta=60.00 gamma=60.00
Site moments in Bohr magnetons follow the coordinates.
Positions (direct):
Fe  0.1250  0.6250  0.6250  1.30
Tc  0.0000  0.0000  0.0000  -0.20
Tc  0.2500  0.2500  0.2500  -0.20
Fe  0.6250  0.6250  0.6250  1.30
Fe  0.6250  0.6250  0.1250  1.30
Fe  0.6250  0.1250  0.6250  1.30

## Properties
**Polymorph energy (0 for the lowest one)**: 5 meV per atom
**E_form**: -0.010 eV per atom
**E_tot**: -0.358 Ha/atom
**Spin magnetization**: 4.801 μB/cell



Record 5
First-principles (PBEsol) data for a geometry-optimized KLiSe2 structure, as listed in the Alexandria database.

Unit cell a=4.2995 b=4.5527 c=4.5527 alpha=90.00 beta=90.00 gamma=90.00
Positions (direct):
Se  0.0000  0.0000  0.5000
K  0.5000  0.5000  0.5000
Li  0.5000  0.0000  0.0000
Se  0.0000  0.5000  0.0000

## Properties
**Raw formation energy**: -0.624 eV per atom
**E_tot**: -0.122 Ha/atom
**Spin magnetization**: 0.000 μB/cell



Record 6
First-principles (PBEsol) data for a geometry-optimized BePb2Br structure, as listed in the Alexandria database.

Unit cell a=3.2552 b=3.2552 c=9.2660 alpha=90.00 beta=90.00 gamma=90.00
Positions (direct):
Pb  0.5000  0.5000  0.3003
Br  0.5000  0.5000  0.6563
Pb  0.0000  0.0000  0.0144
Be  0.0000  0.0000  0.5291

## Properties
**Polymorph energy (0 for the lowest one)**: 34 meV per atom
**Raw formation energy**: 0.227 eV per atom
**E_tot**: -0.119 Ha/atom
**Spin magnetization**: 0.000 μB/cell